Pr4AgIr2 after structural relaxation, computed with PBE-GGA.

a b c (Å): 7.892 7.891 7.885
angles (deg): 109.02 109.01 110.37
Atoms (fractional coordinates):
1 Pr 0.492 0.741 0.885
2 Pr 0.262 0.144 0.754
3 Ir 0.626 0.244 0.120
4 Ag 0.999 0.999 0.000
5 Pr 0.856 0.607 0.114
6 Pr 0.759 0.140 0.747
7 Pr 0.991 0.242 0.385
8 Ir 0.756 0.874 0.380
9 Ir 0.124 0.506 0.880
10 Pr 0.394 0.012 0.254
11 Pr 0.857 0.606 0.614
12 Pr 0.390 0.508 0.247
13 Ir 0.494 0.377 0.620
14 Ag 0.249 0.749 0.500

SG: Cc (9)
Spin magnetization (μB per atom): 0.000
ΔH_f (0 K) (eV per atom): -0.45

TiTlTeAu2 after structural relaxation, computed with PBE-GGA.

a b c (Å): 5.157 5.157 5.351
angles (deg): 90.00 90.00 90.00
Atoms (fractional coordinates):
1 Tl 0.000 0.000 0.000
2 Au 0.000 0.500 0.000
3 Ti 0.000 0.000 0.500
4 Au 0.500 0.000 0.000
5 Te 0.500 0.500 0.500

ΔE_f (raw) (eV per atom): 0.851
SG: P4/mmm (123)
Spin magnetization (μB per atom): 0.004

Ba4ScFe after structural relaxation, computed with PBE-GGA.

a b c (Å): 7.241 7.241 7.241
angles (deg): 60.00 60.00 60.00
Atoms (fractional coordinates):
1 Ba 0.375 0.375 0.874
2 Fe 0.750 0.750 0.750
3 Ba 0.375 0.874 0.375
4 Ba 0.375 0.375 0.375
5 Ba 0.874 0.375 0.375
6 Sc 0.000 0.000 0.000

SG: F-43m (216)
Spin magnetization (μB per atom): 0.778
ΔH_f (0 K) (eV per atom): 1.03

Pm2MgAs4Pt3 after structural relaxation, computed with PBE-GGA.

a b c (Å): 4.234 4.234 11.201
angles (deg): 90.00 90.00 90.00
Atoms (fractional coordinates):
1 Pm 0.000 0.500 0.750
2 As 0.500 0.000 0.644
3 Pm 0.500 0.000 0.250
4 As 0.000 0.000 0.000
5 Pt 0.000 0.500 0.137
6 As 0.000 0.500 0.356
7 As 0.500 0.500 0.000
8 Mg 0.500 0.500 0.500
9 Pt 0.000 0.000 0.500
10 Pt 0.500 0.000 0.863

SG: P-4m2 (115)
Spin magnetization (μB per atom): 0.000
ΔH_f (0 K) (eV per atom): -0.85

Pr7SmDy2 after structural relaxation, computed with PBE-GGA.

a b c (Å): 5.745 9.372 9.372
angles (deg): 122.69 90.00 90.00
Atoms (fractional coordinates):
1 Pr 0.500 0.935 0.705
2 Pr 0.000 0.774 0.226
3 Sm 0.000 0.000 0.000
4 Pr 0.500 0.705 0.935
5 Pr 0.500 0.295 0.065
6 Dy 0.500 0.704 0.296
7 Dy 0.500 0.296 0.704
8 Pr 0.500 0.500 0.500
9 Pr 0.500 0.065 0.295
10 Pr 0.000 0.226 0.774

Offset from the most stable computed form (meV per atom): 262.7
SG: Cmmm (65)
Spin magnetization (μB per atom): 0.000
ΔH_f (0 K) (eV per atom): 0.62

Be2SiAs after structural relaxation, computed with PBE-GGA.

a b c (Å): 4.210 4.210 4.210
angles (deg): 60.00 60.00 60.00
Atoms (fractional coordinates):
1 Si 0.750 0.750 0.750
2 Be 0.250 0.250 0.250
3 As 0.500 0.500 0.500
4 Be 0.000 0.000 0.000

ΔE_f (raw) (eV per atom): 0.680
Offset from the most stable computed form (meV per atom): 507.3
SG: F-43m (216)
Spin magnetization (μB per atom): 0.000

AgBrCl after structural relaxation, computed with PBE-GGA.

a b c (Å): 4.735 4.735 4.735
angles (deg): 60.00 60.00 60.00
Atoms (fractional coordinates):
1 Ag 0.750 0.750 0.750
2 Br 0.000 0.000 0.000
3 Cl 0.500 0.500 0.500

ΔE_f (raw) (eV per atom): -0.033
Offset from the most stable computed form (meV per atom): 246.1
SG: F-43m (216)
Spin magnetization (μB per atom): 0.001

V2SBr after structural relaxation, computed with PBE-GGA.

a b c (Å): 4.361 4.361 4.361
angles (deg): 60.00 60.00 60.00
Atoms (fractional coordinates):
1 Br 0.500 0.500 0.500
2 V 0.750 0.750 0.750
3 V 0.250 0.250 0.250
4 S 0.000 0.000 0.000

ΔE_f (raw) (eV per atom): 0.041
Offset from the most stable computed form (meV per atom): 467.2
SG: Fm-3m (225)
Spin magnetization (μB per atom): 0.751

TbLuZn after structural relaxation, computed with PBE-GGA.

a b c (Å): 3.603 4.955 4.955
angles (deg): 120.00 90.00 90.00
Atoms (fractional coordinates):
1 Zn 0.285 0.333 0.667
2 Tb 0.623 0.667 0.333
3 Lu 0.092 0.000 0.000

Offset from the most stable computed form (meV per atom): 156.6
SG: P3m1 (156)
Spin magnetization (μB per atom): 0.000
ΔH_f (0 K) (eV per atom): -0.05

LaY2Ru after structural relaxation, computed with PBE-GGA.

a b c (Å): 4.644 3.638 6.550
angles (deg): 74.00 90.00 90.00
Atoms (fractional coordinates):
1 Y 0.000 0.583 0.537
2 La 0.500 0.250 0.250
3 Y 0.000 0.917 0.963
4 Ru 0.500 0.750 0.750

Offset from the most stable computed form (meV per atom): 325.9
SG: P2/m (10)
Spin magnetization (μB per atom): 0.000
ΔH_f (0 K) (eV per atom): 0.04

PrEuScAl after structural relaxation, computed with PBE-GGA.

a b c (Å): 5.360 5.360 5.360
angles (deg): 60.00 60.00 60.00
Atoms (fractional coordinates):
1 Al 0.750 0.750 0.750
2 Sc 0.000 0.000 0.000
3 Eu 0.250 0.250 0.250
4 Pr 0.500 0.500 0.500

SG: F-43m (216)
Spin magnetization (μB per atom): 1.963
ΔH_f (0 K) (eV per atom): -0.01

ZnCoI2N after structural relaxation, computed with PBE-GGA.

a b c (Å): 5.447 5.447 3.517
angles (deg): 90.00 90.00 90.00
Atoms (fractional coordinates):
1 Co 0.000 0.000 0.000
2 I 0.500 0.000 0.000
3 Zn 0.500 0.500 0.500
4 N 0.000 0.000 0.500
5 I 0.000 0.500 0.000

ΔE_f (raw) (eV per atom): 0.449
Offset from the most stable computed form (meV per atom): 0.0
SG: P4/mmm (123)
Spin magnetization (μB per atom): 0.000